Below is a relaxed CsPbN2O crystal, with properties calculated at the GGA-PBE level.

V, Å³/atom: 17.61
Formation energy from raw total energies, meV/atom: 1812

Cell: 4.422 4.422 4.503 Å, 90.00 90.00 90.00°
Atoms (fractional coordinates):
O1 0.000 0.000 0.500
Cs1 0.000 0.000 0.000
N1 0.000 0.500 0.000
Pb1 0.500 0.500 0.500
N2 0.500 0.000 0.000

=====

Below is a relaxed LiEr2MnSe4 crystal, with properties calculated at the GGA-PBE level.

V, Å³/atom: 21.98
Formation energy from raw total energies, meV/atom: -1379

Cell: 3.995 6.920 6.765 Å, 109.91 90.00 90.00°
Site moments in Bohr magnetons follow the coordinates.
Atoms (fractional coordinates):
Mn1 0.000 0.000 0.000  4.05
Se1 0.500 0.244 0.235  0.03
Se2 0.000 0.253 0.761  0.02
Se3 0.000 0.747 0.239  0.02
Er1 0.500 0.000 0.500  -0.08
Er2 0.000 0.500 0.500  -0.02
Li1 0.500 0.500 0.000  0.00
Se4 0.500 0.756 0.765  0.03

=====

Below is a relaxed CeHf2Mg crystal, with properties calculated at the GGA-PBE level.

V, Å³/atom: 23.50
Energy above the lowest structure with this stoichiometry, meV per atom: 78
Calculated formation energy, eV per formula unit: 0.62

Cell: 3.151 3.151 9.468 Å, 90.00 90.00 90.00°
Atoms (fractional coordinates):
Hf1 0.000 0.000 0.240
Hf2 0.000 0.000 0.760
Ce1 0.500 0.500 0.500
Mg1 0.500 0.500 0.000

=====

Below is a relaxed KZn2HgSb crystal, with properties calculated at the GGA-PBE level.

V, Å³/atom: 46.38
Formation energy from raw total energies, meV/atom: 810

Cell: 6.100 6.232 6.100 Å, 90.00 90.00 90.00°
Site moments in Bohr magnetons follow the coordinates.
Atoms (fractional coordinates):
Sb1 0.500 0.500 0.500  0.67
K1 0.000 0.000 0.000  0.00
Zn1 0.000 0.000 0.500  0.02
Zn2 0.500 0.000 0.000  0.03
Hg1 0.000 0.500 0.000  0.03

=====

Below is a relaxed Sr2ScSb crystal, with properties calculated at the GGA-PBE level.

V, Å³/atom: 31.70
Formation energy from raw total energies, meV/atom: -73

Cell: 5.639 5.639 5.639 Å, 60.00 60.00 60.00°
Site moments in Bohr magnetons follow the coordinates.
Atoms (fractional coordinates):
Sb1 0.500 0.500 0.500  0.00
Sc1 0.750 0.750 0.750  0.14
Sr1 0.000 0.000 0.000  0.01
Sr2 0.250 0.250 0.250  0.02

=====

Below is a relaxed ZnCu6Pt2 crystal, with properties calculated at the GGA-PBE level.

V, Å³/atom: 13.44
Energy above the lowest structure with this stoichiometry, meV per atom: 45
Calculated formation energy, eV per formula unit: -0.67

Cell: 6.618 4.521 4.521 Å, 66.76 78.93 78.93°
Atoms (fractional coordinates):
Cu1 0.501 0.754 0.754
Pt1 0.917 0.680 0.680
Cu2 0.692 0.219 0.703
Cu3 0.499 0.246 0.246
Cu4 0.692 0.703 0.219
Cu5 0.308 0.781 0.297
Cu6 0.308 0.297 0.781
Zn1 0.000 0.000 0.000
Pt2 0.083 0.320 0.320

=====

Below is a relaxed GaP2Pb2 crystal, with properties calculated at the GGA-PBE level.

V, Å³/atom: 23.92
Energy above the lowest structure with this stoichiometry, meV per atom: 62
Calculated formation energy, eV per formula unit: 1.24

Cell: 7.648 7.648 4.089 Å, 90.00 90.00 90.00°
Atoms (fractional coordinates):
Ga1 0.500 0.500 0.000
Pb1 0.649 0.851 0.500
P1 0.173 0.327 0.000
Pb2 0.851 0.351 0.500
P2 0.327 0.827 0.000
P3 0.827 0.673 0.000
Ga2 0.000 0.000 0.000
Pb3 0.149 0.649 0.500
Pb4 0.351 0.149 0.500
P4 0.673 0.173 0.000

=====

Below is a relaxed Sm2Er5Tm2 crystal, with properties calculated at the GGA-PBE level.

V, Å³/atom: 33.03
Energy above the lowest structure with this stoichiometry, meV per atom: 14
Calculated formation energy, eV per formula unit: 2.17

Cell: 3.468 8.127 12.410 Å, 120.54 98.07 89.95°
Atoms (fractional coordinates):
Sm1 0.180 0.215 0.361
Er1 0.904 0.541 0.809
Er2 0.691 0.852 0.381
Sm2 0.820 0.785 0.639
Er3 0.096 0.459 0.191
Tm1 0.547 0.739 0.094
Er4 0.000 0.000 0.000
Er5 0.309 0.148 0.619
Tm2 0.453 0.261 0.906